[1]
K2Rb3I5 | PBE | optimized geometry

Cell and atoms, written as extended XYZ:
```
10
Lattice="-0.913 -2.809 -4.294 7.699 -7.057 -0.184 -8.124 -7.226 3.292" Properties=species:S:1:pos:R:3 pbc="T T T"
I -2.782 -10.881 1.384
I 0.000 0.000 0.000
I 1.445 -6.211 -2.570
Rb -0.669 -8.546 -0.593
Rb -5.223 -10.725 -1.361
K -1.053 -13.453 -0.464
I 0.959 -11.402 -2.234
Rb 3.886 -6.367 0.176
I -2.297 -5.690 1.048
K -0.284 -3.639 -0.722
```

Calculated values
Uncorrected formation energy in eV per atom: -1.401
Crystal system: monoclinic

=====

[2]
K3Rb2I4 | PBE | optimized geometry

Cell and atoms, written as extended XYZ:
```
9
Lattice="5.115 0.000 0.005 -2.558 4.430 -0.005 -0.004 0.002 21.314" Properties=species:S:1:pos:R:3 pbc="T T T"
I 2.555 1.478 2.056
Rb 2.558 1.476 17.024
I -2.555 4.428 14.768
K 2.549 1.481 8.630
I -0.002 2.954 19.258
Rb -0.005 2.956 4.290
K 0.005 2.950 12.684
I 5.108 0.004 6.546
K 0.000 0.000 0.000
```

Calculated values
Uncorrected formation energy in eV per atom: -1.299
Crystal system: monoclinic

=====

[3]
KRbI | PBE | optimized geometry

Cell and atoms, written as extended XYZ:
```
3
Lattice="4.473 0.000 0.000 0.000 4.473 0.000 -2.236 -2.236 8.423" Properties=species:S:1:pos:R:3 pbc="T T T"
I 2.236 2.236 2.897
K 0.000 0.000 4.917
Rb 0.000 0.000 0.609
```

Calculated values
Uncorrected formation energy in eV per atom: -0.910
Crystal system: tetragonal
Offset from the most stable computed form in eV per atom: 0.018

=====

[4]
K5Rb12I3 | PBE | optimized geometry

Cell and atoms, written as extended XYZ:
```
80
Lattice="21.259 0.000 0.000 -7.086 20.043 0.000 -7.086 -10.021 17.358" Properties=species:S:1:pos:R:3 pbc="T T T"
K 5.315 3.758 2.170
K 10.629 0.000 0.000
Rb -6.870 15.478 6.527
Rb 13.340 -6.329 15.206
Rb -0.832 11.322 6.557
Rb 7.380 9.242 13.083
Rb -3.327 5.457 10.831
I 1.772 10.021 4.339
Rb -0.323 12.043 2.122
Rb -7.409 0.827 14.546
Rb 10.413 4.565 6.527
Rb -0.294 0.779 4.274
I -8.858 10.021 13.018
Rb -2.711 6.329 15.206
K 7.086 -5.011 8.679
Rb 15.005 4.993 4.405
K 8.858 5.011 13.018
Rb 3.327 -2.924 9.368
Rb -0.216 7.098 7.989
Rb 7.409 -2.022 15.235
K 0.000 0.000 0.000
Rb 13.879 0.920 7.216
Rb 3.221 2.022 15.235
I 5.315 11.274 10.849
Rb 10.923 -0.779 4.274
I -1.772 8.769 10.849
K 3.543 5.011 8.679
Rb 13.956 -5.457 10.831
Rb 3.866 12.870 0.690
Rb 6.792 -1.699 5.867
K 12.401 -1.253 10.849
K -5.315 11.274 6.509
I 12.401 13.779 2.170
Rb -0.323 7.173 0.690
Rb 3.837 1.699 5.867
K 7.086 10.021 0.000
Rb 3.759 12.945 7.989
Rb 14.495 9.194 2.812
Rb -3.249 -0.920 7.216
Rb 9.797 15.049 4.405
Rb -3.221 -0.827 14.546
Rb -7.919 5.028 12.953
I -5.315 -3.758 15.188
Rb 3.866 8.000 2.122
Rb 2.711 1.301 10.801
Rb -2.711 -5.028 12.953
Rb 10.336 10.941 10.141
Rb 10.413 18.402 1.462
K -1.772 16.285 2.170
K 8.858 -6.263 15.188
Rb 7.919 -1.301 10.801
I 15.944 0.000 4.339
K -1.772 1.253 10.849
I 12.401 6.263 2.170
Rb 7.302 2.924 9.368
Rb 14.388 1.641 1.462
Rb 7.409 2.849 16.668
K -1.772 5.011 4.339
K 1.772 6.263 15.188
Rb -6.254 16.350 2.152
I 1.772 -1.253 6.509
K 1.772 -5.011 13.018
Rb -6.792 9.102 10.141
Rb 3.221 -2.849 16.668
Rb -7.302 8.381 15.895
Rb -3.327 -8.381 15.895
Rb 0.294 11.720 11.491
I 5.315 0.000 13.018
Rb 3.249 8.323 11.491
K -3.543 -5.011 8.679
Rb 4.376 8.721 6.557
K -7.086 5.011 8.679
Rb -3.837 10.800 13.083
K -3.543 10.021 0.000
Rb 9.797 3.693 2.152
K 5.315 15.032 4.339
K 8.858 8.769 6.509
Rb 10.307 10.848 2.812
I -5.315 3.758 15.188
I 8.858 1.253 6.509
```

Calculated values
Uncorrected formation energy in eV per atom: -0.241
Crystal system: cubic

=====

[5]
KRbI3 | PBE | optimized geometry

Cell and atoms, written as extended XYZ:
```
5
Lattice="-2.024 -3.690 5.132 5.718 -3.366 -0.165 2.695 4.371 4.206" Properties=species:S:1:pos:R:3 pbc="T T T"
K 0.000 0.000 0.000
I 1.348 2.186 2.103
I -1.012 -1.845 2.566
I 2.859 -1.683 -0.083
Rb 3.194 -1.343 4.586
```

Calculated values
Uncorrected formation energy in eV per atom: -0.893
Crystal system: cubic
Offset from the most stable computed form in eV per atom: 0.000

=====

[6]
K3Rb5I12 | PBE | optimized geometry

Cell and atoms, written as extended XYZ:
```
80
Lattice="18.412 0.000 0.000 -6.137 17.359 0.000 -6.137 -8.679 15.033" Properties=species:S:1:pos:R:3 pbc="T T T"
K -7.671 8.679 11.275
I 8.450 9.390 8.587
I 4.157 7.734 6.038
I -6.239 6.757 13.962
Rb 10.740 -1.085 9.396
K 1.534 8.679 3.758
Rb 1.534 -4.340 11.275
I -1.980 -4.756 11.195
K 1.534 -1.085 5.637
K 10.740 11.934 1.879
Rb -1.534 14.104 1.879
K -4.603 3.255 13.154
I -0.232 10.837 1.479
I -7.226 4.756 11.195
Rb 4.603 3.255 1.879
I 3.170 11.131 6.387
I -6.036 12.985 5.317
I 6.239 2.451 8.646
I -5.382 7.969 8.587
K 13.809 0.000 3.758
I -5.049 14.381 2.200
Rb -3.069 -4.340 7.516
Rb -4.603 9.764 5.637
I -2.837 -0.202 12.425
I 6.369 2.359 13.904
I 6.369 -2.157 13.554
Rb 6.137 8.679 0.000
Rb 9.206 0.000 0.000
K -4.603 -3.255 13.154
I 2.313 7.082 10.124
I 5.382 -1.598 4.909
I 1.980 0.946 8.995
I 2.837 -2.359 13.904
Rb 3.069 4.340 7.516
I 11.519 0.710 6.446
I 12.376 1.922 1.071
I 9.961 -0.887 3.679
Rb -6.137 4.340 7.516
I -6.369 0.202 12.425
Rb 0.000 0.000 0.000
I -2.313 -0.710 6.446
I 9.104 4.373 5.317
I 12.506 8.477 2.608
I 13.363 3.923 3.838
Rb -1.534 4.340 3.758
I 8.117 2.977 2.200
Rb 7.671 7.594 5.637
Rb 4.603 13.019 3.758
I 3.300 11.039 1.129
I 7.226 -0.946 8.995
I 11.186 -5.702 12.833
K -1.534 7.594 9.396
K 10.740 5.425 1.879
Rb -1.534 1.085 9.396
I 0.755 10.277 10.124
I -0.232 6.320 1.129
K 7.671 1.085 5.637
I 6.893 7.792 11.354
Rb 7.671 4.340 11.275
I 3.824 1.598 4.909
Rb 7.671 -5.425 13.154
I 3.300 6.522 1.479
I -2.967 -6.757 13.962
I -2.967 4.306 9.716
I 2.837 2.157 13.554
I 8.974 8.881 2.608
I -0.755 0.887 3.679
I -1.980 5.702 12.833
I -1.088 9.625 6.038
I 12.173 -4.306 9.716
I 2.967 -2.451 8.646
K 4.603 9.764 9.396
I 8.117 13.435 3.838
Rb 6.137 -4.340 7.516
K 4.603 0.000 11.275
I 9.104 15.437 1.071
Rb 1.534 5.425 13.154
I -0.101 6.228 6.387
Rb -3.069 8.679 0.000
I -3.824 9.567 11.354
```

Calculated values
Uncorrected formation energy in eV per atom: -0.983
Crystal system: cubic